# MgMo2H2

Crystalline MgMo2H2 at its relaxed geometry (GGA-PBE, Alexandria).

Structure (extended XYZ):
```
5
Lattice="-0.498 0.140 -3.385 -3.387 0.081 0.501 -1.804 4.847 -1.267" Properties=species:S:1:pos:R:3 pbc="T T T"
H -2.122 2.548 -3.047
H -3.566 2.519 -1.104
Mo -1.895 1.719 -1.383
Mo -3.793 3.348 -2.769
Mg 0.000 0.000 0.000
```

Results
The value obtained for the total DFT energy (no corrections) is -29.5 eV per cell.